Crystalline K7O2F2 at its relaxed geometry. Source: Alexandria via LeMat-Bulk, functional GGA-PBE.

abc: 7.375 7.375 6.994
angles: 94.87 94.87 110.44
Atoms (fractional coordinates):
K1 0.000 0.000 0.000
K2 0.055 0.407 0.697
K3 0.407 0.055 0.697
K4 0.438 0.438 0.223
K5 0.562 0.562 0.777
K6 0.593 0.945 0.303
K7 0.945 0.593 0.303
O1 0.272 0.272 0.880
O2 0.728 0.728 0.120
F1 0.314 0.686 0.500
F2 0.686 0.314 0.500

Computed properties:
D(E_F) = 0.20 states/eV/atom
ΔE_f (raw) = -1461 meV/atom
symmetry = C2/m